No. 1
Entry from Alexandria via LeMat-Bulk: a geometry-optimized Mg2HgMo structure (PBE-GGA).

Lattice parameters (Å, degrees): 9.9891 9.9891 9.9891 17.42 17.42 17.42
Fractional positions:
Mo (0.2500, 0.2500, 0.2500)
Hg (0.7500, 0.7500, 0.7500)
Mg (0.5057, 0.5057, 0.5057)
Mg (0.9943, 0.9943, 0.9943)

## Properties
The total moment is 0.0 Bohr magnetons per cell. The calculation puts the formation energy at 247 meV/atom. The value obtained for the density is 7.353 g/cm³. Its density of states at the Fermi level is 2.01 states/eV/f.u.

No. 2
Entry from Alexandria via LeMat-Bulk: a geometry-optimized Mg2HgMo structure (PBE-GGA).

Lattice parameters (Å, degrees): 5.3111 5.3111 5.3111 134.42 134.42 66.44
Each line ends with the local moment (μB).
Fractional positions:
Mo (0.5000, 0.5000, 0.0000)  1.20
Mg (0.0000, 0.0000, 0.0000)  -0.01
Mg (0.2500, 0.7500, 0.5000)  0.00
Hg (0.7500, 0.2500, 0.5000)  0.03

## Properties
The total moment is 1.4 Bohr magnetons per cell. The calculation puts the formation energy at 350 meV/atom. The value obtained for the density is 7.618 g/cm³. Its density of states at the Fermi level is 3.69 states/eV/f.u.

No. 3
Entry from Alexandria via LeMat-Bulk: a geometry-optimized Mg2HgMo structure (PBE-GGA).

Lattice parameters (Å, degrees): 5.2726 5.2726 5.2195 79.14 79.14 32.30
Fractional positions:
Mg (0.7540, 0.7540, 0.7333)
Mg (0.9952, 0.9952, 0.0014)
Mo (0.5009, 0.5009, 0.5044)
Hg (0.2499, 0.2499, 0.2609)

## Properties
The total moment is 0.0 Bohr magnetons per cell. The calculation puts the formation energy at 299 meV/atom. The value obtained for the density is 7.538 g/cm³. Its density of states at the Fermi level is 2.72 states/eV/f.u.

No. 4
Entry from Alexandria via LeMat-Bulk: a geometry-optimized Mg2HgMo structure (PBE-GGA).

Lattice parameters (Å, degrees): 4.9154 2.8828 5.3754 89.82 90.00 90.00
Fractional positions:
Mo (0.0000, 0.6245, 0.4673)
Mg (0.0000, 0.1221, 0.9698)
Mg (0.5000, 0.1279, 0.2956)
Hg (0.5000, 0.6255, 0.7673)

## Properties
The total moment is 0.0 Bohr magnetons per cell. The calculation puts the formation energy at 295 meV/atom. The value obtained for the density is 7.524 g/cm³. Its density of states at the Fermi level is 3.32 states/eV/f.u.